No. 1
Here is crystalline Sr2YSc at its relaxed geometry from Alexandria via LeMat-Bulk. Energies are from PBE.

Cell: 3.633 6.123 6.827 Å, 90.00 98.28 90.00°
Fractional positions:
Sr 0.240 0.000 0.254
Sr 0.760 0.000 0.746
Y 0.500 0.500 0.000
Sc 0.000 0.500 0.500

Results
Total magnetic moment: 0.127 μB/cell
Uncorrected energy: -3.70 eV per atom
Polymorph energy (0 for the lowest one): 186 meV/atom
DOS at the Fermi energy: 1.82 states/eV/atom
SG: P2/m (10)

=====

No. 2
Here is crystalline PtCO2 at its relaxed geometry from Alexandria via LeMat-Bulk. Energies are from PBE.

Cell: 6.106 6.106 6.106 Å, 25.90 25.90 25.90°
Fractional positions:
Pt 0.000 0.000 0.000
C 0.500 0.500 0.500
O 0.113 0.113 0.113
O 0.887 0.887 0.887

Results
Uncorrected formation energy: 871 meV/atom
Total magnetic moment: 0.000 μB/cell
Uncorrected energy: -5.42 eV per atom
DOS at the Fermi energy: 0.57 states/eV/atom
SG: R-3m (166)